Record 1
# ErPu2I6

An optimized crystal structure of ErPu2I6 (PBE-GGA, the Alexandria database).

Cell lengths 17.474, 4.216, 10.898 Å; angles 90.00, 112.34, 90.00 degrees
Space group C2/m (No. 12)
Unique sites:
Er 0.000 0.000 0.000 [2 per cell]
Pu 0.176 0.500 0.350 [4 per cell]
I 0.029 0.000 0.293 [4 per cell]
I 0.133 0.500 0.032 [4 per cell]
I 0.188 0.500 0.646 [4 per cell]

Properties
**Volume**: 742.6 Å³/cell
**Raw formation energy**: -1.10 eV per atom
**M_tot**: 12.80 μB per formula unit
**Electronic total energy**: -5.825 eV per atom
**Density**: 6.3 g/cm³

Record 2
# PrYGaIr

An optimized crystal structure of PrYGaIr (PBE-GGA, the Alexandria database).

Cell lengths 4.285, 4.168, 10.819 Å; angles 90.00, 90.00, 90.00 degrees
Space group Amm2 (No. 38)
Unique sites:
Pr 0.000 0.000 0.000 [2 per cell]
Y 0.500 0.000 0.717 [2 per cell]
Ga 0.500 0.000 0.419 [2 per cell]
Ir 0.000 0.000 0.281 [2 per cell]

Properties
**Calculated formation energy**: -0.666 eV/atom
**Volume**: 193.2 Å³/cell
**E above lowest polymorph**: 0.0 kJ/mol of atoms
**M_tot**: 0.00 μB per formula unit
**Electronic total energy**: -6.449 eV per atom
**Density**: 8.5 g/cm³

Record 3
# Tb3Pr6Dy

An optimized crystal structure of Tb3Pr6Dy (PBE-GGA, the Alexandria database).

Cell lengths 11.020, 19.452, 6.470 Å; angles 90.00, 90.00, 90.00 degrees
Space group Cmc2_1 (No. 36)
Unique sites:
Tb 0.000 0.115 0.000 [4 per cell]
Tb 0.171 0.384 0.619 [8 per cell]
Pr 0.000 0.219 0.429 [4 per cell]
Pr 0.000 0.466 0.210 [4 per cell]
Pr 0.170 0.041 0.533 [8 per cell]
Pr 0.230 0.209 0.720 [8 per cell]
Dy 0.000 0.307 0.973 [4 per cell]

Properties
**Calculated formation energy**: 0.137 eV/atom
**Volume**: 1386.9 Å³/cell
**E above lowest polymorph**: 1.6 kJ/mol of atoms
**M_tot**: 0.00 μB per formula unit
**Electronic total energy**: -4.580 eV per atom
**Density**: 7.1 g/cm³

Record 4
# UMnCoNi

An optimized crystal structure of UMnCoNi (PBE-GGA, the Alexandria database).

Cell lengths 6.044, 6.044, 6.044 Å; angles 90.00, 90.00, 90.00 degrees
Space group F-43m (No. 216)
Unique sites:
U 0.000 0.000 0.000 [4 per cell]
Mn 0.250 0.250 0.250 [4 per cell]
Co 0.250 0.250 0.750 [4 per cell]
Ni 0.000 0.000 0.500 [4 per cell]

Properties
**Calculated formation energy**: 0.079 eV/atom
**Volume**: 220.8 Å³/cell
**M_tot**: 0.94 μB per formula unit
**Electronic total energy**: -8.257 eV per atom
**Density**: 12.4 g/cm³

Question: Look up the M_tot of the first one.
Answer: 12.80 μB per formula unit